(1)
A plane-wave DFT calculation with PBE-GGA was carried out for TbYIn2Ni4 after structural relaxation.

Unit cell a=3.998 b=5.090 c=6.993 alpha=90.00 beta=90.00 gamma=90.00
Positions (direct):
1 Tb 0.000 0.000 0.000
2 Y 0.000 0.500 0.540
3 In 0.500 0.000 0.621
4 In 0.500 0.500 0.916
5 Ni 0.000 0.000 0.380
6 Ni 0.000 0.500 0.158
7 Ni 0.500 0.250 0.269
8 Ni 0.500 0.750 0.269

## Properties
Spin magnetization (μB/atom): 0.000
Energy above the most stable polymorph in this dataset (meV/atom): 0
Symmetry: Pmm2, No. 25
Total DFT energy (no corrections) (eV per atom): -5.3120

=====

(2)
A plane-wave DFT calculation with PBE-GGA was carried out for TbYInNi2 after structural relaxation.

Unit cell a=3.687 b=7.462 c=7.462 alpha=30.30 beta=90.00 gamma=90.00
Positions (direct):
1 Tb 0.000 0.000 0.000
2 Y 0.000 0.277 0.277
3 In 0.500 0.639 0.639
4 Ni 0.500 0.439 0.439
5 Ni 0.500 0.839 0.839

## Properties
Spin magnetization (μB/atom): 0.001
Symmetry: Amm2, No. 38
Total DFT energy (no corrections) (eV per atom): -5.5282

=====

(3)
A plane-wave DFT calculation with PBE-GGA was carried out for TbYIn4Ni2 after structural relaxation.

Unit cell a=7.418 b=5.663 c=5.663 alpha=44.75 beta=90.00 gamma=90.00
Positions (direct):
1 Tb 0.000 0.000 0.000
2 Y 0.500 0.868 0.868
3 In 0.200 0.290 0.290
4 In 0.300 0.578 0.578
5 In 0.700 0.578 0.578
6 In 0.800 0.290 0.290
7 Ni 0.000 0.717 0.717
8 Ni 0.500 0.150 0.150

## Properties
Spin magnetization (μB/atom): 0.000
Symmetry: Amm2, No. 38
Total DFT energy (no corrections) (eV per atom): -4.5971